Entry 1:
A relaxed Ta2IrOsCl crystal, computed with PBEsol.

Computed properties:
- Total energy: -8.8442 eV/atom
- Magnetization: 0.0 μB per cell
- Crystal system: tetragonal

Cell: 4.265 4.391 4.391 Å, 90.00 90.00 90.00°
Element x y z (fractional)
Cl  0.000  0.000  0.000
Ir  0.500  0.500  0.500
Os  0.500  0.000  0.000
Ta  0.000  0.000  0.500
Ta  0.000  0.500  0.000

***

Entry 2:
A relaxed PIr2Cl crystal, computed with PBEsol.

Computed properties:
- Offset from the most stable computed form: 0 meV per atom
- Total energy: -6.4586 eV/atom
- Magnetization: 0.0 μB per cell
- Crystal system: orthorhombic

Cell: 2.824 5.054 5.054 Å, 65.66 73.78 73.78°
Element x y z (fractional)
Cl  0.000  0.500  0.500
Ir  0.221  0.779  0.779
Ir  0.779  0.221  0.221
P  0.500  0.000  0.000

***

Entry 3:
A relaxed P2IrCl crystal, computed with PBEsol.

Computed properties:
- Offset from the most stable computed form: 0 meV per atom
- Total energy: -6.1522 eV/atom
- Magnetization: 0.0 μB per cell
- Crystal system: monoclinic

Cell: 3.544 3.810 6.893 Å, 75.09 75.10 62.28°
Element x y z (fractional)
Cl  0.500  0.500  0.500
Ir  0.000  0.000  0.000
P  0.367  0.414  0.852
P  0.633  0.586  0.148

***

Entry 4:
A relaxed P2IrCl crystal, computed with PBEsol.

Computed properties:
- Offset from the most stable computed form: 425 meV per atom
- Total energy: -5.7274 eV/atom
- Magnetization: 0.0 μB per cell
- Crystal system: orthorhombic

Cell: 2.693 3.391 7.558 Å, 90.00 90.00 90.00°
Element x y z (fractional)
Cl  0.500  0.500  0.500
Ir  0.500  0.500  0.000
P  0.000  0.000  0.174
P  0.000  0.000  0.826

***

Entry 5:
A relaxed PIr2Cl crystal, computed with PBEsol.

Computed properties:
- Offset from the most stable computed form: 317 meV per atom
- Total energy: -6.1414 eV/atom
- Magnetization: 0.0 μB per cell
- Crystal system: tetragonal

Cell: 2.962 4.337 4.337 Å, 90.00 90.00 90.00°
Element x y z (fractional)
Cl  0.500  0.000  0.000
Ir  0.000  0.000  0.500
Ir  0.000  0.500  0.000
P  0.500  0.500  0.500

***

Entry 6:
A relaxed P2IrCl crystal, computed with PBEsol.

Computed properties:
- Offset from the most stable computed form: 899 meV per atom
- Total energy: -5.2534 eV/atom
- Magnetization: 0.0 μB per cell
- Crystal system: tetragonal

Cell: 2.775 4.544 4.544 Å, 90.00 90.00 90.00°
Element x y z (fractional)
Cl  0.500  0.500  0.500
Ir  0.500  0.000  0.000
P  0.000  0.000  0.500
P  0.000  0.500  0.000

***

Entry 7:
A relaxed PIr4Cl crystal, computed with PBEsol.

Computed properties:
- Total energy: -6.6436 eV/atom
- Magnetization: 0.0 μB per cell
- Crystal system: cubic

Cell: 5.175 5.175 5.175 Å, 60.00 60.00 60.00°
Element x y z (fractional)
Cl  0.000  0.000  0.000
Ir  0.376  0.376  0.376
Ir  0.376  0.376  0.873
Ir  0.873  0.376  0.376
Ir  0.376  0.873  0.376
P  0.750  0.750  0.750

***

Entry 8:
A relaxed PIrPdCl2 crystal, computed with PBEsol.

Computed properties:
- Total energy: -4.5236 eV/atom
- Magnetization: 0.0 μB per cell
- Crystal system: tetragonal

Cell: 4.405 4.839 4.839 Å, 90.00 90.00 90.00°
Element x y z (fractional)
P  0.500  0.000  0.000
Ir  0.000  0.000  0.000
Pd  0.500  0.500  0.500
Cl  0.000  0.000  0.500
Cl  0.000  0.500  0.000

***

Entry 9:
A relaxed P2IrRhCl crystal, computed with PBEsol.

Computed properties:
- Total energy: -5.2298 eV/atom
- Magnetization: 0.9 μB per cell
- Crystal system: tetragonal

Cell: 4.449 4.449 4.556 Å, 90.00 90.00 90.00°
Site moments in Bohr magnetons follow the coordinates.
Element x y z (fractional)
P  0.000  0.500  0.000  -0.01
P  0.500  0.000  0.000  -0.01
Ir  0.500  0.500  0.500  0.77
Rh  0.000  0.000  0.000  -0.01
Cl  0.000  0.000  0.500  0.11

***

Entry 10:
A relaxed PIrRuCl2 crystal, computed with PBEsol.

Computed properties:
- Total energy: -4.8493 eV/atom
- Magnetization: 3.0 μB per cell
- Crystal system: tetragonal

Cell: 4.422 4.830 4.830 Å, 90.00 90.00 90.00°
Site moments in Bohr magnetons follow the coordinates.
Element x y z (fractional)
Ru  0.500  0.500  0.500  2.62
Ir  0.000  0.000  0.000  -0.02
P  0.500  0.000  0.000  0.00
Cl  0.000  0.000  0.500  0.06
Cl  0.000  0.500  0.000  0.06

***

Entry 11:
A relaxed P2IrSCl crystal, computed with PBEsol.

Computed properties:
- Total energy: -4.9107 eV/atom
- Magnetization: 0.0 μB per cell
- Crystal system: tetragonal

Cell: 4.540 4.540 4.764 Å, 90.00 90.00 90.00°
Element x y z (fractional)
P  0.000  0.500  0.000
P  0.500  0.000  0.000
S  0.000  0.000  0.500
Ir  0.000  0.000  0.000
Cl  0.500  0.500  0.500

***

Entry 12:
A relaxed SbP2IrCl crystal, computed with PBEsol.

Computed properties:
- Total energy: -5.1772 eV/atom
- Magnetization: 0.0 μB per cell
- Crystal system: tetragonal

Cell: 4.578 4.578 4.799 Å, 90.00 90.00 90.00°
Element x y z (fractional)
Sb  0.500  0.500  0.500
Ir  0.000  0.000  0.000
P  0.000  0.500  0.000
P  0.500  0.000  0.000
Cl  0.000  0.000  0.500

***

Entry 13:
A relaxed TaP2IrCl crystal, computed with PBEsol.

Computed properties:
- Total energy: -6.1740 eV/atom
- Magnetization: 1.4 μB per cell
- Crystal system: tetragonal

Cell: 4.525 4.525 4.632 Å, 90.00 90.00 90.00°
Site moments in Bohr magnetons follow the coordinates.
Element x y z (fractional)
Cl  0.000  0.000  0.500  -0.03
Ir  0.000  0.000  0.000  0.00
P  0.000  0.500  0.000  -0.04
P  0.500  0.000  0.000  -0.04
Ta  0.500  0.500  0.500  1.09

***

Entry 14:
A relaxed TeP2IrCl crystal, computed with PBEsol.

Computed properties:
- Total energy: -5.0211 eV/atom
- Magnetization: 0.0 μB per cell
- Crystal system: tetragonal

Cell: 4.600 4.600 4.748 Å, 90.00 90.00 90.00°
Element x y z (fractional)
P  0.000  0.500  0.000
P  0.500  0.000  0.000
Ir  0.000  0.000  0.000
Te  0.500  0.500  0.500
Cl  0.000  0.000  0.500

***

Entry 15:
A relaxed YP2IrCl crystal, computed with PBEsol.

Computed properties:
- Total energy: -6.2250 eV/atom
- Magnetization: 0.0 μB per cell
- Crystal system: tetragonal

Cell: 4.567 4.567 4.866 Å, 90.00 90.00 90.00°
Element x y z (fractional)
Y  0.500  0.500  0.500
P  0.000  0.500  0.000
P  0.500  0.000  0.000
Ir  0.000  0.000  0.000
Cl  0.000  0.000  0.500

***

Entry 16:
A relaxed IrPb2Cl crystal, computed with PBEsol.

Computed properties:
- Offset from the most stable computed form: 393 meV per atom
- Total energy: -4.6130 eV/atom
- Magnetization: 0.0 μB per cell
- Crystal system: tetragonal

Cell: 3.938 3.938 6.641 Å, 107.25 107.25 90.00°
Element x y z (fractional)
Pb  0.000  0.000  0.000
Pb  0.750  0.250  0.500
Ir  0.250  0.750  0.500
Cl  0.500  0.500  0.000

***

Entry 17:
A relaxed IrPb2Cl crystal, computed with PBEsol.

Computed properties:
- Offset from the most stable computed form: 0 meV per atom
- Total energy: -5.0058 eV/atom
- Magnetization: 0.0 μB per cell
- Crystal system: trigonal

Cell: 3.976 3.976 7.647 Å, 74.93 74.93 60.00°
Element x y z (fractional)
Pb  0.266  0.266  0.203
Pb  0.734  0.734  0.797
Ir  0.000  0.000  0.000
Cl  0.500  0.500  0.500

***

Entry 18:
A relaxed IrPbCl crystal, computed with PBEsol.

Computed properties:
- Total energy: -4.9027 eV/atom
- Magnetization: 0.0 μB per cell
- Crystal system: hexagonal

Cell: 3.248 4.469 4.469 Å, 120.00 90.00 90.00°
Element x y z (fractional)
Pb  0.334  0.667  0.333
Ir  0.833  0.333  0.667
Cl  0.833  0.000  0.000

***

Entry 19:
A relaxed IrPdRhCl2 crystal, computed with PBEsol.

Computed properties:
- Total energy: -4.3304 eV/atom
- Magnetization: 2.1 μB per cell
- Crystal system: tetragonal

Cell: 4.371 4.371 5.055 Å, 90.00 90.00 90.00°
Site moments in Bohr magnetons follow the coordinates.
Element x y z (fractional)
Ir  0.500  0.500  0.500  1.63
Rh  0.000  0.000  0.000  0.12
Pd  0.000  0.000  0.500  0.16
Cl  0.000  0.500  0.000  0.05
Cl  0.500  0.000  0.000  0.05

***

Entry 20:
A relaxed Ir2PdRuCl crystal, computed with PBEsol.

Computed properties:
- Total energy: -5.3017 eV/atom
- Magnetization: 5.3 μB per cell
- Crystal system: tetragonal

Cell: 4.355 4.772 4.772 Å, 90.00 90.00 90.00°
Site moments in Bohr magnetons follow the coordinates.
Element x y z (fractional)
Ru  0.500  0.500  0.500  2.49
Ir  0.000  0.000  0.500  1.09
Ir  0.000  0.500  0.000  1.09
Pd  0.000  0.000  0.000  0.30
Cl  0.500  0.000  0.000  0.07

***

Entry 21:
A relaxed SiIrPd2Cl crystal, computed with PBEsol.

Computed properties:
- Total energy: -4.9595 eV/atom
- Magnetization: 1.7 μB per cell
- Crystal system: tetragonal

Cell: 4.449 4.449 4.478 Å, 90.00 90.00 90.00°
Site moments in Bohr magnetons follow the coordinates.
Element x y z (fractional)
Si  0.000  0.000  0.000  0.00
Ir  0.500  0.500  0.500  1.45
Pd  0.000  0.500  0.000  0.05
Pd  0.500  0.000  0.000  0.05
Cl  0.000  0.000  0.500  0.10

***

Entry 22:
A relaxed Pr6IrCl11 crystal, computed with PBEsol.

Computed properties:
- Total energy: -5.5097 eV/atom
- Magnetization: 0.0 μB per cell
- Crystal system: monoclinic

Cell: 7.273 8.154 8.154 Å, 101.07 92.60 92.60°
Element x y z (fractional)
Pr  0.230  0.019  0.707
Pr  0.241  0.196  0.196
Pr  0.770  0.293  0.981
Pr  0.230  0.707  0.019
Pr  0.759  0.804  0.804
Pr  0.770  0.981  0.293
Ir  0.000  0.000  0.000
Cl  0.500  0.000  0.000
Cl  0.635  0.094  0.658
Cl  0.051  0.204  0.491
Cl  0.633  0.305  0.305
Cl  0.365  0.342  0.906
Cl  0.051  0.491  0.204
Cl  0.949  0.509  0.796
Cl  0.635  0.658  0.094
Cl  0.367  0.695  0.695
Cl  0.949  0.796  0.509
Cl  0.365  0.906  0.342

***

Entry 23:
A relaxed ReIrCl2 crystal, computed with PBEsol.

Computed properties:
- Offset from the most stable computed form: 337 meV per atom
- Total energy: -5.4014 eV/atom
- Magnetization: 0.0 μB per cell
- Crystal system: tetragonal

Cell: 3.957 3.957 4.675 Å, 115.04 115.04 90.00°
Element x y z (fractional)
Re  0.000  0.000  0.000
Ir  0.500  0.500  0.000
Cl  0.750  0.250  0.500
Cl  0.250  0.750  0.500

***

Entry 24:
A relaxed ReIrCl2 crystal, computed with PBEsol.

Computed properties:
- Offset from the most stable computed form: 0 meV per atom
- Total energy: -5.7384 eV/atom
- Magnetization: 1.4 μB per cell
- Crystal system: cubic

Cell: 4.432 4.432 4.432 Å, 60.00 60.00 60.00°
Site moments in Bohr magnetons follow the coordinates.
Element x y z (fractional)
Re  0.250  0.250  0.250  1.07
Ir  0.500  0.500  0.500  0.01
Cl  0.000  0.000  0.000  0.01
Cl  0.750  0.750  0.750  0.11

***

Entry 25:
A relaxed Re2IrCl crystal, computed with PBEsol.

Computed properties:
- Offset from the most stable computed form: 350 meV per atom
- Total energy: -8.8875 eV/atom
- Magnetization: 0.0 μB per cell
- Crystal system: monoclinic

Cell: 2.748 4.144 5.524 Å, 98.92 90.00 109.36°
Element x y z (fractional)
Re  0.752  0.503  0.731
Re  0.248  0.497  0.269
Ir  0.500  0.000  0.000
Cl  0.000  0.000  0.500

***

Entry 26:
A relaxed Re2IrCl crystal, computed with PBEsol.

Computed properties:
- Offset from the most stable computed form: 0 meV per atom
- Total energy: -9.2380 eV/atom
- Magnetization: 0.0 μB per cell
- Crystal system: trigonal

Cell: 2.787 2.787 8.652 Å, 80.73 80.73 60.00°
Element x y z (fractional)
Re  0.249  0.249  0.253
Re  0.751  0.751  0.747
Ir  0.000  0.000  0.000
Cl  0.500  0.500  0.500

***

Entry 27:
A relaxed Sc2ReIrCl crystal, computed with PBEsol.

Computed properties:
- Total energy: -7.3567 eV/atom
- Magnetization: 0.0 μB per cell
- Crystal system: tetragonal

Cell: 4.248 4.556 4.556 Å, 90.00 90.00 90.00°
Element x y z (fractional)
Sc  0.000  0.000  0.500
Sc  0.000  0.500  0.000
Re  0.500  0.000  0.000
Ir  0.500  0.500  0.500
Cl  0.000  0.000  0.000

***

Entry 28:
A relaxed ReTeIr2Cl crystal, computed with PBEsol.

Computed properties:
- Total energy: -6.0063 eV/atom
- Magnetization: 0.0 μB per cell
- Crystal system: tetragonal

Cell: 4.323 4.519 4.519 Å, 90.00 90.00 90.00°
Element x y z (fractional)
Re  0.500  0.000  0.000
Ir  0.000  0.000  0.500
Ir  0.000  0.500  0.000
Te  0.500  0.500  0.500
Cl  0.000  0.000  0.000

***

Entry 29:
A relaxed IrRhCl2 crystal, computed with PBEsol.

Computed properties:
- Offset from the most stable computed form: 0 meV per atom
- Total energy: -4.9168 eV/atom
- Magnetization: 0.0 μB per cell
- Crystal system: orthorhombic

Cell: 2.823 5.045 5.045 Å, 62.54 73.75 73.75°
Element x y z (fractional)
Ir  0.500  0.000  0.000
Rh  0.000  0.500  0.500
Cl  0.244  0.756  0.756
Cl  0.756  0.244  0.244